[1]
{
  "formula": "Ba3Zn2Rh4",
  "functional": "GGA-PBE",
  "state": "relaxed",
  "lattice": [[5.7628, -2.2170, 0.0000], [5.7628, 2.2170, 0.0000], [-1.6868, 0.0000, 8.6884]],
  "species": ["Ba", "Ba", "Ba", "Zn", "Zn", "Rh", "Rh", "Rh", "Rh"],
  "frac_coords": [[0.0000, 0.0000, 0.0000], [0.3753, 0.3753, 0.6197], [0.6247, 0.6247, 0.3803], [0.3304, 0.3304, 0.2189], [0.6696, 0.6696, 0.7811], [0.0854, 0.0854, 0.6433], [0.2460, 0.2460, 0.9224], [0.7540, 0.7540, 0.0776], [0.9146, 0.9146, 0.3567]],
  "formation_energy_kj_per_mol_fu": -245,
  "vol_a3_per_atom": 24.7
}

=====

[2]
{
  "formula": "AlNi5Pt8",
  "functional": "GGA-PBE",
  "state": "relaxed",
  "lattice": [[-3.6687, 3.6687, 3.8146], [3.6687, -3.6687, 3.8146], [3.6687, 3.6687, -3.8146]],
  "species": ["Al", "Ni", "Ni", "Ni", "Ni", "Ni", "Pt", "Pt", "Pt", "Pt", "Pt", "Pt", "Pt", "Pt"],
  "frac_coords": [[0.0000, 0.0000, 0.0000], [0.2165, 0.0344, 0.5906], [0.3741, 0.7835, 0.8179], [0.4437, 0.6259, 0.4094], [0.7500, 0.2500, 0.5000], [0.9656, 0.5563, 0.1821], [0.0984, 0.3189, 0.4140], [0.1705, 0.4076, 0.9002], [0.3155, 0.9016, 0.2205], [0.5074, 0.2703, 0.0998], [0.5924, 0.4926, 0.7629], [0.6811, 0.0950, 0.7795], [0.7297, 0.8295, 0.2371], [0.9050, 0.6845, 0.5860]],
  "formation_energy_kj_per_mol_fu": -40,
  "vol_a3_per_atom": 14.7
}

=====

[3]
{
  "formula": "ScIr2Au",
  "functional": "GGA-PBE",
  "state": "relaxed",
  "lattice": [[1.4620, 0.8441, 9.0145], [-1.4620, 0.8441, 9.0145], [0.0000, -1.6881, 9.0145]],
  "species": ["Sc", "Ir", "Ir", "Au"],
  "frac_coords": [[0.0000, 0.0000, 0.0000], [0.2554, 0.2554, 0.2554], [0.7446, 0.7446, 0.7446], [0.5000, 0.5000, 0.5000]],
  "formation_energy_kj_per_mol_fu": -49,
  "vol_a3_per_atom": 16.7,
  "relative_energy_mev_per_atom": 374
}

=====

[4]
{
  "formula": "LiIn4SnO8",
  "functional": "GGA-PBE",
  "state": "relaxed",
  "lattice": [[3.2744, 1.8905, 5.1674], [-3.2744, 1.8905, 5.1674], [0.0000, -3.7809, 5.1674]],
  "species": ["Li", "In", "In", "In", "In", "Sn", "O", "O", "O", "O", "O", "O", "O", "O"],
  "frac_coords": [[0.0000, 0.0000, 0.0000], [0.0019, 0.0019, 0.5049], [0.0019, 0.5049, 0.0019], [0.5049, 0.0019, 0.0019], [0.6204, 0.6204, 0.6204], [0.3841, 0.3841, 0.3841], [0.2249, 0.7592, 0.7592], [0.2473, 0.2473, 0.2473], [0.2489, 0.2489, 0.7751], [0.2489, 0.7751, 0.2489], [0.7584, 0.7584, 0.7584], [0.7592, 0.2249, 0.7592], [0.7592, 0.7592, 0.2249], [0.7751, 0.2489, 0.2489]],
  "formation_energy_uncorrected_ev_per_atom": -1.545,
  "vol_a3_per_atom": 13.7
}

=====

[5]
{
  "formula": "SrMgO2",
  "functional": "GGA-PBE",
  "state": "relaxed",
  "lattice": [[3.4035, 0.0000, 0.0000], [0.0000, 3.4035, 0.0000], [0.0000, 0.0000, 4.8003]],
  "species": ["Sr", "Mg", "O", "O"],
  "frac_coords": [[0.0000, 0.0000, 0.0000], [0.5000, 0.5000, 0.5000], [0.0000, 0.0000, 0.5000], [0.5000, 0.5000, 0.0000]],
  "formation_energy_uncorrected_ev_per_atom": -2.360,
  "vol_a3_per_atom": 13.9
}

=====

[6]
{
  "formula": "PmSmIO6",
  "functional": "GGA-PBE",
  "state": "relaxed",
  "lattice": [[5.7448, 0.0000, 0.0000], [-2.8724, 4.9751, 0.0000], [0.0000, 0.0000, 9.6878]],
  "species": ["Pm", "Pm", "Sm", "Sm", "I", "I", "O", "O", "O", "O", "O", "O", "O", "O", "O", "O", "O", "O"],
  "frac_coords": [[0.0000, 0.0000, 0.0000], [0.0000, 0.0000, 0.5000], [0.3333, 0.6667, 0.2500], [0.6667, 0.3333, 0.7500], [0.3333, 0.6667, 0.7500], [0.6667, 0.3333, 0.2500], [0.0431, 0.3700, 0.6350], [0.0431, 0.6731, 0.8650], [0.3269, 0.3700, 0.8650], [0.3269, 0.9569, 0.6350], [0.3700, 0.0431, 0.1350], [0.3700, 0.3269, 0.3650], [0.6300, 0.6731, 0.6350], [0.6300, 0.9569, 0.8650], [0.6731, 0.0431, 0.3650], [0.6731, 0.6300, 0.1350], [0.9569, 0.3269, 0.1350], [0.9569, 0.6300, 0.3650]],
  "formation_energy_uncorrected_ev_per_atom": -1.975,
  "vol_a3_per_atom": 15.4
}

=====

[7]
{
  "formula": "Li5Cl4O",
  "functional": "GGA-PBE",
  "state": "relaxed",
  "lattice": [[-3.9282, 3.9282, 2.5346], [3.9282, -3.9282, 2.5346], [3.9282, 3.9282, -2.5346]],
  "species": ["Li", "Li", "Li", "Li", "Li", "Cl", "Cl", "Cl", "Cl", "O"],
  "frac_coords": [[0.0000, 0.0000, 0.0000], [0.2257, 0.3996, 0.6614], [0.3996, 0.7382, 0.1739], [0.5643, 0.2257, 0.8261], [0.7382, 0.5643, 0.3386], [0.0813, 0.6881, 0.8065], [0.2748, 0.0813, 0.3932], [0.6881, 0.8816, 0.6068], [0.8816, 0.2748, 0.1935], [0.4749, 0.4749, 0.0000]],
  "formation_energy_uncorrected_ev_per_atom": -1.588,
  "vol_a3_per_atom": 15.6
}

=====

[8]
{
  "formula": "CdFe2P",
  "functional": "GGA-PBE",
  "state": "relaxed",
  "lattice": [[2.7871, 0.0000, 0.0000], [0.0000, 2.7871, 0.0000], [0.0000, 0.0000, 6.6832]],
  "species": ["Cd", "Fe", "Fe", "P"],
  "frac_coords": [[0.0000, 0.0000, 0.0000], [0.5000, 0.5000, 0.3170], [0.5000, 0.5000, 0.6830], [0.0000, 0.0000, 0.5000]],
  "formation_energy_kj_per_mol_fu": -13,
  "vol_a3_per_atom": 13.0,
  "relative_energy_mev_per_atom": 0
}

=====

[9]
{
  "formula": "LaZr2Cr",
  "functional": "GGA-PBE",
  "state": "relaxed",
  "lattice": [[0.0000, 3.5571, 3.5571], [3.5571, 0.0000, 3.5571], [3.5571, 3.5571, 0.0000]],
  "species": ["La", "Zr", "Zr", "Cr"],
  "frac_coords": [[0.0000, 0.0000, 0.0000], [0.2500, 0.2500, 0.2500], [0.7500, 0.7500, 0.7500], [0.5000, 0.5000, 0.5000]],
  "formation_energy_kj_per_mol_fu": 168,
  "vol_a3_per_atom": 22.5,
  "relative_energy_mev_per_atom": 234
}

=====

[10]
{
  "formula": "Ba3PaS6",
  "functional": "GGA-PBE",
  "state": "relaxed",
  "lattice": [[7.5291, 0.0000, 0.0000], [0.0000, 7.9799, 0.0000], [-7.2207, 0.0000, 10.6215]],
  "species": ["Ba", "Ba", "Ba", "Ba", "Ba", "Ba", "Pa", "Pa", "S", "S", "S", "S", "S", "S", "S", "S", "S", "S", "S", "S"],
  "frac_coords": [[0.0000, 0.0000, 0.0000], [0.0000, 0.5000, 0.5000], [0.2120, 0.0710, 0.7405], [0.2120, 0.4290, 0.2405], [0.7880, 0.5710, 0.7595], [0.7880, 0.9290, 0.2595], [0.5000, 0.0000, 0.5000], [0.5000, 0.5000, 0.0000], [0.1642, 0.1806, 0.4441], [0.1642, 0.3194, 0.9441], [0.2500, 0.7278, 0.4214], [0.2500, 0.7722, 0.9214], [0.4039, 0.0596, 0.2721], [0.4039, 0.4404, 0.7721], [0.5960, 0.5596, 0.2279], [0.5960, 0.9404, 0.7279], [0.7500, 0.2278, 0.0786], [0.7500, 0.2722, 0.5786], [0.8358, 0.6806, 0.0559], [0.8358, 0.8194, 0.5559]],
  "formation_energy_uncorrected_ev_per_atom": -1.752,
  "vol_a3_per_atom": 31.9,
  "relative_energy_mev_per_atom": 30
}

=====

[11]
{
  "formula": "K3Sn7Au2",
  "functional": "GGA-PBE",
  "state": "relaxed",
  "lattice": [[6.3106, 0.0000, 0.0000], [0.0000, 4.5153, 0.0000], [-2.1570, 0.0000, 13.2794]],
  "species": ["K", "K", "K", "Sn", "Sn", "Sn", "Sn", "Sn", "Sn", "Sn", "Au", "Au"],
  "frac_coords": [[0.0000, 0.0000, 0.0000], [0.3478, 0.0000, 0.6149], [0.6522, 0.0000, 0.3851], [0.1399, 0.0000, 0.2569], [0.1414, 0.5000, 0.4122], [0.1838, 0.5000, 0.8007], [0.5000, 0.5000, 0.0000], [0.8162, 0.5000, 0.1993], [0.8586, 0.5000, 0.5878], [0.8601, 0.0000, 0.7431], [0.3589, 0.5000, 0.1896], [0.6411, 0.5000, 0.8104]],
  "formation_energy_kj_per_mol_fu": -140,
  "vol_a3_per_atom": 31.5
}

=====

[12]
{
  "formula": "TmLuZnSi",
  "functional": "GGA-PBE",
  "state": "relaxed",
  "lattice": [[0.0000, 3.4538, 3.4538], [3.4538, 0.0000, 3.4538], [3.4538, 3.4538, 0.0000]],
  "species": ["Tm", "Lu", "Zn", "Si"],
  "frac_coords": [[0.0000, 0.0000, 0.0000], [0.5000, 0.5000, 0.5000], [0.2500, 0.2500, 0.2500], [0.7500, 0.7500, 0.7500]],
  "formation_energy_uncorrected_ev_per_atom": -0.437,
  "vol_a3_per_atom": 20.6
}